This record from Alexandria describes crystalline LaSiRu at its relaxed geometry. The functional is PBE-GGA.

Output
- M_tot: 0.00 μB per formula unit
- Mass density: 6.68 g/cm3
- Space group: F-43m (216)
- Uncorrected energy: -6.757 eV per atom

Cell: 4.550 4.550 4.550 Å, 60.00 60.00 60.00°
Sites, in units of the cell vectors:
La 0.500 0.500 0.500
Si 0.000 0.000 0.000
Ru 0.750 0.750 0.750